# 1
# Dy4YTm5 | Alexandria via LeMat-Bulk | GGA-PBE | optimized geometry
data_Dy4YTm5
_chemical_formula_sum 'Dy4 Y1 Tm5'
_cell_length_a 8.6875
_cell_length_b 8.6875
_cell_length_c 6.9766
_cell_angle_alpha 90.01
_cell_angle_beta 90.01
_cell_angle_gamma 36.11
_symmetry_space_group_name_H-M 'P 1'
_symmetry_Int_Tables_number 1
_symmetry_space_group_name_Hall 'P 1'
loop_
_atom_site_label
_atom_site_type_symbol
_atom_site_fract_x
_atom_site_fract_y
_atom_site_fract_z
_atom_site_occupancy
Dy1 Dy 0.0000 0.0000 0.0000 1
Dy2 Dy 0.3991 0.3991 0.5022 1
Dy3 Dy 0.5890 0.5890 0.2508 1
Dy4 Dy 0.8092 0.8092 0.2501 1
Y1 Y 0.1990 0.1990 0.5032 1
Tm1 Tm 0.1992 0.1992 0.0004 1
Tm2 Tm 0.3981 0.3981 0.9999 1
Tm3 Tm 0.5889 0.5889 0.7516 1
Tm4 Tm 0.8093 0.8093 0.7525 1
Tm5 Tm 0.9994 0.9994 0.5024 1
# calculated formation energy = 0.054 eV/atom
# distance to the lowest polymorph of the same formula = 0.0 meV per atom
# space-group type = No. 8
# DOS(E_F) = 18.0 states/eV/f.u.

# 2
# Dy2YTm2 | Alexandria via LeMat-Bulk | GGA-PBE | optimized geometry
data_Dy2YTm2
_chemical_formula_sum 'Dy4 Y2 Tm4'
_cell_length_a 9.2176
_cell_length_b 9.2176
_cell_length_c 3.6920
_cell_angle_alpha 90.00
_cell_angle_beta 90.00
_cell_angle_gamma 90.00
_symmetry_space_group_name_H-M 'P 1'
_symmetry_Int_Tables_number 1
_symmetry_space_group_name_Hall 'P 1'
loop_
_atom_site_label
_atom_site_type_symbol
_atom_site_fract_x
_atom_site_fract_y
_atom_site_fract_z
_atom_site_occupancy
Dy1 Dy 0.1277 0.3723 0.0000 1
Dy2 Dy 0.3723 0.8723 0.0000 1
Dy3 Dy 0.6277 0.1277 0.0000 1
Dy4 Dy 0.8723 0.6277 0.0000 1
Y1 Y 0.0000 0.0000 0.0000 1
Y2 Y 0.5000 0.5000 0.0000 1
Tm1 Tm 0.1701 0.6701 0.5000 1
Tm2 Tm 0.3299 0.1701 0.5000 1
Tm3 Tm 0.6701 0.8299 0.5000 1
Tm4 Tm 0.8299 0.3299 0.5000 1
# calculated formation energy = 0.076 eV/atom
# distance to the lowest polymorph of the same formula = 0.0 meV per atom
# space-group type = No. 127
# DOS(E_F) = 3.8 states/eV/f.u.

# 3
# Dy7Y2Tm | Alexandria via LeMat-Bulk | GGA-PBE | optimized geometry
data_Dy7Y2Tm
_chemical_formula_sum 'Dy7 Y2 Tm1'
_cell_length_a 6.1289
_cell_length_b 6.1379
_cell_length_c 9.3697
_cell_angle_alpha 102.59
_cell_angle_beta 108.97
_cell_angle_gamma 99.68
_symmetry_space_group_name_H-M 'P 1'
_symmetry_Int_Tables_number 1
_symmetry_space_group_name_Hall 'P 1'
loop_
_atom_site_label
_atom_site_type_symbol
_atom_site_fract_x
_atom_site_fract_y
_atom_site_fract_z
_atom_site_occupancy
Dy1 Dy 0.0000 0.0000 0.0000 1
Dy2 Dy 0.1995 0.0000 0.4002 1
Dy3 Dy 0.1989 0.4986 0.8998 1
Dy4 Dy 0.3995 0.5005 0.3010 1
Dy5 Dy 0.6005 0.4995 0.6990 1
Dy6 Dy 0.8005 0.0000 0.5998 1
Dy7 Dy 0.8011 0.5014 0.1002 1
Y1 Y 0.4000 0.9992 0.7990 1
Y2 Y 0.6000 0.0008 0.2010 1
Tm1 Tm 0.0000 0.5000 0.5000 1
# calculated formation energy = 0.021 eV/atom
# distance to the lowest polymorph of the same formula = 0.0 meV per atom
# space-group type = No. 2
# DOS(E_F) = 14.5 states/eV/f.u.

# 4
# DyY12Tm2 | Alexandria via LeMat-Bulk | GGA-PBE | optimized geometry
data_DyY12Tm2
_chemical_formula_sum 'Dy2 Y24 Tm4'
_cell_length_a 6.7431
_cell_length_b 6.7431
_cell_length_c 23.5335
_cell_angle_alpha 92.38
_cell_angle_beta 92.38
_cell_angle_gamma 114.58
_symmetry_space_group_name_H-M 'P 1'
_symmetry_Int_Tables_number 1
_symmetry_space_group_name_Hall 'P 1'
loop_
_atom_site_label
_atom_site_type_symbol
_atom_site_fract_x
_atom_site_fract_y
_atom_site_fract_z
_atom_site_occupancy
Dy1 Dy 0.2497 0.2497 0.0000 1
Dy2 Dy 0.7503 0.7503 0.0000 1
Y1 Y 0.0361 0.0361 0.1471 1
Y2 Y 0.0481 0.5483 0.1931 1
Y3 Y 0.1050 0.1050 0.4231 1
Y4 Y 0.1101 0.6103 0.4425 1
Y5 Y 0.1706 0.6703 0.6787 1
Y6 Y 0.2328 0.7319 0.9337 1
Y7 Y 0.2681 0.7672 0.0663 1
Y8 Y 0.3297 0.8294 0.3213 1
Y9 Y 0.3897 0.8899 0.5575 1
Y10 Y 0.3951 0.3951 0.5769 1
Y11 Y 0.4517 0.9519 0.8069 1
Y12 Y 0.4639 0.4639 0.8525 1
Y13 Y 0.5361 0.5361 0.1475 1
Y14 Y 0.5483 0.0481 0.1931 1
Y15 Y 0.6049 0.6049 0.4231 1
Y16 Y 0.6103 0.1101 0.4425 1
Y17 Y 0.6703 0.1706 0.6787 1
Y18 Y 0.7319 0.2328 0.9337 1
Y19 Y 0.7672 0.2681 0.0663 1
Y20 Y 0.8294 0.3297 0.3213 1
Y21 Y 0.8899 0.3897 0.5575 1
Y22 Y 0.8950 0.8950 0.5769 1
Y23 Y 0.9519 0.4517 0.8069 1
Y24 Y 0.9639 0.9639 0.8529 1
Tm1 Tm 0.1796 0.1796 0.7157 1
Tm2 Tm 0.3200 0.3200 0.2842 1
Tm3 Tm 0.6800 0.6800 0.7158 1
Tm4 Tm 0.8204 0.8204 0.2843 1
# calculated formation energy = 0.078 eV/atom
# space-group type = No. 12
# DOS(E_F) = 27.2 states/eV/f.u.

# 5
# Dy5Y5Tm2 | Alexandria via LeMat-Bulk | GGA-PBE | optimized geometry
data_Dy5Y5Tm2
_chemical_formula_sum 'Dy5 Y5 Tm2'
_cell_length_a 6.5941
_cell_length_b 6.5941
_cell_length_c 11.9324
_cell_angle_alpha 106.36
_cell_angle_beta 106.36
_cell_angle_gamma 50.19
_symmetry_space_group_name_H-M 'P 1'
_symmetry_Int_Tables_number 1
_symmetry_space_group_name_Hall 'P 1'
loop_
_atom_site_label
_atom_site_type_symbol
_atom_site_fract_x
_atom_site_fract_y
_atom_site_fract_z
_atom_site_occupancy
Dy1 Dy 0.0000 0.0000 0.0000 1
Dy2 Dy 0.0401 0.0401 0.7112 1
Dy3 Dy 0.2062 0.2062 0.5440 1
Dy4 Dy 0.7938 0.7938 0.4560 1
Dy5 Dy 0.9599 0.9599 0.2888 1
Y1 Y 0.2491 0.2491 0.2503 1
Y2 Y 0.2952 0.2952 0.9553 1
Y3 Y 0.5000 0.5000 0.5000 1
Y4 Y 0.7048 0.7048 0.0447 1
Y5 Y 0.7509 0.7509 0.7497 1
Tm1 Tm 0.4623 0.4623 0.7887 1
Tm2 Tm 0.5377 0.5377 0.2113 1
# calculated formation energy = 0.068 eV/atom
# distance to the lowest polymorph of the same formula = 45.4 meV per atom
# space-group type = No. 12
# DOS(E_F) = 22.8 states/eV/f.u.

# 6
# Dy4Y2Tm5 | Alexandria via LeMat-Bulk | GGA-PBE | optimized geometry
data_Dy4Y2Tm5
_chemical_formula_sum 'Dy4 Y2 Tm5'
_cell_length_a 10.8496
_cell_length_b 10.8496
_cell_length_c 9.0939
_cell_angle_alpha 102.39
_cell_angle_beta 102.39
_cell_angle_gamma 19.27
_symmetry_space_group_name_H-M 'P 1'
_symmetry_Int_Tables_number 1
_symmetry_space_group_name_Hall 'P 1'
loop_
_atom_site_label
_atom_site_type_symbol
_atom_site_fract_x
_atom_site_fract_y
_atom_site_fract_z
_atom_site_occupancy
Dy1 Dy 0.0272 0.0272 0.2035 1
Dy2 Dy 0.3281 0.3281 0.5844 1
Dy3 Dy 0.6719 0.6719 0.4156 1
Dy4 Dy 0.9728 0.9728 0.7965 1
Y1 Y 0.3852 0.3852 0.9958 1
Y2 Y 0.6148 0.6148 0.0042 1
Tm1 Tm 0.1181 0.1181 0.6913 1
Tm2 Tm 0.2505 0.2505 0.1705 1
Tm3 Tm 0.5000 0.5000 0.5000 1
Tm4 Tm 0.7495 0.7495 0.8295 1
Tm5 Tm 0.8819 0.8819 0.3087 1
# calculated formation energy = 0.060 eV/atom
# distance to the lowest polymorph of the same formula = 0.0 meV per atom
# space-group type = No. 12
# DOS(E_F) = 17.8 states/eV/f.u.

# 7
# Dy4YTm15 | Alexandria via LeMat-Bulk | GGA-PBE | optimized geometry
data_Dy4YTm15
_chemical_formula_sum 'Dy4 Y1 Tm15'
_cell_length_a 4.9512
_cell_length_b 4.9512
_cell_length_c 24.7665
_cell_angle_alpha 90.00
_cell_angle_beta 90.00
_cell_angle_gamma 90.00
_symmetry_space_group_name_H-M 'P 1'
_symmetry_Int_Tables_number 1
_symmetry_space_group_name_Hall 'P 1'
loop_
_atom_site_label
_atom_site_type_symbol
_atom_site_fract_x
_atom_site_fract_y
_atom_site_fract_z
_atom_site_occupancy
Dy1 Dy 0.0000 0.0000 0.1000 1
Dy2 Dy 0.0000 0.0000 0.2998 1
Dy3 Dy 0.0000 0.0000 0.7002 1
Dy4 Dy 0.0000 0.0000 0.9000 1
Y1 Y 0.0000 0.0000 0.5000 1
Tm1 Tm 0.0000 0.5000 0.0000 1
Tm2 Tm 0.0000 0.5000 0.1999 1
Tm3 Tm 0.0000 0.5000 0.3995 1
Tm4 Tm 0.0000 0.5000 0.6005 1
Tm5 Tm 0.0000 0.5000 0.8001 1
Tm6 Tm 0.5000 0.0000 0.0000 1
Tm7 Tm 0.5000 0.0000 0.1999 1
Tm8 Tm 0.5000 0.0000 0.3995 1
Tm9 Tm 0.5000 0.0000 0.6005 1
Tm10 Tm 0.5000 0.0000 0.8001 1
Tm11 Tm 0.5000 0.5000 0.1000 1
Tm12 Tm 0.5000 0.5000 0.2998 1
Tm13 Tm 0.5000 0.5000 0.5000 1
Tm14 Tm 0.5000 0.5000 0.7002 1
Tm15 Tm 0.5000 0.5000 0.9000 1
# calculated formation energy = 0.026 eV/atom
# space-group type = No. 123
# DOS(E_F) = 27.2 states/eV/f.u.

# 8
# DyY5Tm6 | Alexandria via LeMat-Bulk | GGA-PBE | optimized geometry
data_DyY5Tm6
_chemical_formula_sum 'Dy1 Y5 Tm6'
_cell_length_a 6.1058
_cell_length_b 6.1058
_cell_length_c 11.6945
_cell_angle_alpha 94.98
_cell_angle_beta 94.98
_cell_angle_gamma 119.93
_symmetry_space_group_name_H-M 'P 1'
_symmetry_Int_Tables_number 1
_symmetry_space_group_name_Hall 'P 1'
loop_
_atom_site_label
_atom_site_type_symbol
_atom_site_fract_x
_atom_site_fract_y
_atom_site_fract_z
_atom_site_occupancy
Dy1 Dy 0.0000 0.0000 0.0000 1
Y1 Y 0.1667 0.8333 0.5000 1
Y2 Y 0.3333 0.6667 0.0000 1
Y3 Y 0.5000 0.5000 0.5000 1
Y4 Y 0.6667 0.3333 0.0000 1
Y5 Y 0.8333 0.1667 0.5000 1
Tm1 Tm 0.0830 0.4157 0.2496 1
Tm2 Tm 0.2497 0.2497 0.7504 1
Tm3 Tm 0.4157 0.0830 0.2496 1
Tm4 Tm 0.5843 0.9170 0.7504 1
Tm5 Tm 0.7503 0.7503 0.2496 1
Tm6 Tm 0.9170 0.5843 0.7504 1
# calculated formation energy = 0.029 eV/atom
# space-group type = No. 12
# DOS(E_F) = 18.0 states/eV/f.u.

# 9
# DyYTm4 | Alexandria via LeMat-Bulk | GGA-PBE | optimized geometry
data_DyYTm4
_chemical_formula_sum 'Dy1 Y1 Tm4'
_cell_length_a 6.4980
_cell_length_b 6.4980
_cell_length_c 6.4980
_cell_angle_alpha 60.00
_cell_angle_beta 60.00
_cell_angle_gamma 60.00
_symmetry_space_group_name_H-M 'P 1'
_symmetry_Int_Tables_number 1
_symmetry_space_group_name_Hall 'P 1'
loop_
_atom_site_label
_atom_site_type_symbol
_atom_site_fract_x
_atom_site_fract_y
_atom_site_fract_z
_atom_site_occupancy
Dy1 Dy 0.0000 0.0000 0.0000 1
Y1 Y 0.2500 0.2500 0.2500 1
Tm1 Tm 0.1252 0.6249 0.6249 1
Tm2 Tm 0.6249 0.1252 0.6249 1
Tm3 Tm 0.6249 0.6249 0.1252 1
Tm4 Tm 0.6249 0.6249 0.6249 1
# calculated formation energy = 0.259 eV/atom
# distance to the lowest polymorph of the same formula = 181.8 meV per atom
# space-group type = No. 216
# DOS(E_F) = 11.6 states/eV/f.u.

Short version: size of the total moment = 0.0 0.0 0.0 0.0 0.0 0.0 0.0 0.0 1.0 μB per formula unit, in the order given.